[1]
{
  "formula": "NpCo3",
  "functional": "PBE-GGA",
  "state": "relaxed",
  "lattice": [[3.7121, 0.0000, 0.0000], [0.0000, 3.7121, 0.0000], [0.0000, 0.0000, 3.7121]],
  "species": ["Np", "Co", "Co", "Co"],
  "fractional_positions": [[0.0000, 0.0000, 0.0000], [0.0000, 0.5000, 0.5000], [0.5000, 0.0000, 0.5000], [0.5000, 0.5000, 0.0000]],
  "ef_ev_per_atom": -0.04,
  "total_magnetization_mub_per_fu": 0.00,
  "volume_a3_per_atom": 12.79
}

---

[2]
{
  "formula": "ScBeTcTe",
  "functional": "PBE-GGA",
  "state": "relaxed",
  "lattice": [[0.0000, 3.2058, 3.2058], [3.2058, 0.0000, 3.2058], [3.2058, 3.2058, 0.0000]],
  "species": ["Sc", "Be", "Tc", "Te"],
  "fractional_positions": [[0.0000, 0.0000, 0.0000], [0.7500, 0.7500, 0.7500], [0.5000, 0.5000, 0.5000], [0.2500, 0.2500, 0.2500]],
  "total_magnetization_mub_per_fu": 0.00,
  "volume_a3_per_atom": 16.47,
  "de_polymorph_mev_per_atom": 0.0
}

---

[3]
{
  "formula": "Cs3P2Ir",
  "functional": "PBE-GGA",
  "state": "relaxed",
  "lattice": [[-4.1517, 8.0247, 3.4421], [4.1517, -8.0247, 3.4421], [4.1517, 8.0247, -3.4421]],
  "species": ["Cs", "Cs", "Cs", "Cs", "Cs", "Cs", "P", "P", "P", "P", "Ir", "Ir"],
  "fractional_positions": [[0.1812, 0.6988, 0.8800], [0.2500, 0.2500, 0.0000], [0.3188, 0.1988, 0.5175], [0.6812, 0.8012, 0.4825], [0.7500, 0.7500, 0.0000], [0.8188, 0.3012, 0.1200], [0.0634, 0.3546, 0.4180], [0.4366, 0.8546, 0.2913], [0.5634, 0.1454, 0.7087], [0.9366, 0.6454, 0.5820], [0.2500, 0.7500, 0.5000], [0.7500, 0.2500, 0.5000]],
  "final_energy_ev_per_atom": -3.931,
  "total_magnetization_mub_per_fu": 0.02,
  "volume_a3_per_atom": 38.23
}

---

[4]
{
  "formula": "HfCuSnAu",
  "functional": "PBE-GGA",
  "state": "relaxed",
  "lattice": [[0.0000, 3.3406, 3.3406], [3.3406, 0.0000, 3.3406], [3.3406, 3.3406, 0.0000]],
  "species": ["Hf", "Cu", "Sn", "Au"],
  "fractional_positions": [[0.0000, 0.0000, 0.0000], [0.7500, 0.7500, 0.7500], [0.5000, 0.5000, 0.5000], [0.2500, 0.2500, 0.2500]],
  "total_magnetization_mub_per_fu": 0.00,
  "volume_a3_per_atom": 18.64,
  "de_polymorph_mev_per_atom": 0.0
}

---

[5]
{
  "formula": "YAlNi2",
  "functional": "PBE-GGA",
  "state": "relaxed",
  "lattice": [[0.0000, 3.1743, 3.1743], [3.1743, 0.0000, 3.1743], [3.1743, 3.1743, 0.0000]],
  "species": ["Y", "Al", "Ni", "Ni"],
  "fractional_positions": [[0.0000, 0.0000, 0.0000], [0.7500, 0.7500, 0.7500], [0.2500, 0.2500, 0.2500], [0.5000, 0.5000, 0.5000]],
  "final_energy_ev_per_atom": -5.461,
  "total_magnetization_mub_per_fu": 0.00,
  "volume_a3_per_atom": 15.99
}

---

[6]
{
  "formula": "ReH12N3Cl4O3",
  "functional": "PBE-GGA",
  "state": "relaxed",
  "lattice": [[8.9199, 0.0000, 0.0000], [-4.4599, 7.7249, 0.0000], [0.0000, 0.0000, 7.6163]],
  "species": ["Re", "Re", "H", "H", "H", "H", "H", "H", "H", "H", "H", "H", "H", "H", "H", "H", "H", "H", "H", "H", "H", "H", "H", "H", "H", "H", "N", "N", "N", "N", "N", "N", "Cl", "Cl", "Cl", "Cl", "Cl", "Cl", "Cl", "Cl", "O", "O", "O", "O", "O", "O"],
  "fractional_positions": [[0.3333, 0.6667, 0.0000], [0.6667, 0.3333, 0.5000], [0.0790, 0.3478, 0.3855], [0.0790, 0.7312, 0.3855], [0.1058, 0.2116, 0.5252], [0.1058, 0.8942, 0.5252], [0.2116, 0.1058, 0.0252], [0.2130, 0.4260, 0.5608], [0.2130, 0.7870, 0.5608], [0.2688, 0.3478, 0.3855], [0.2688, 0.9210, 0.3855], [0.3478, 0.0790, 0.8855], [0.3478, 0.2688, 0.8855], [0.4260, 0.2130, 0.0608], [0.5740, 0.7870, 0.5608], [0.6522, 0.7312, 0.3855], [0.6522, 0.9210, 0.3855], [0.7312, 0.0790, 0.8855], [0.7312, 0.6522, 0.8855], [0.7870, 0.2130, 0.0608], [0.7870, 0.5740, 0.0608], [0.7884, 0.8942, 0.5252], [0.8942, 0.1058, 0.0252], [0.8942, 0.7884, 0.0252], [0.9210, 0.2688, 0.8855], [0.9210, 0.6522, 0.8855], [0.1667, 0.3334, 0.4626], [0.1667, 0.8333, 0.4626], [0.3334, 0.1667, 0.9626], [0.6666, 0.8333, 0.4626], [0.8333, 0.1667, 0.9626], [0.8333, 0.6666, 0.9626], [0.0000, 0.0000, 0.1963], [0.0000, 0.0000, 0.6963], [0.0919, 0.5459, 0.7726], [0.4541, 0.5459, 0.7726], [0.4541, 0.9081, 0.7726], [0.5459, 0.0919, 0.2726], [0.5459, 0.4541, 0.2726], [0.9081, 0.4541, 0.2726], [0.2311, 0.4621, 0.0956], [0.2311, 0.7689, 0.0956], [0.4621, 0.2311, 0.5956], [0.5379, 0.7689, 0.0956], [0.7689, 0.2311, 0.5956], [0.7689, 0.5379, 0.5956]],
  "final_energy_ev_per_atom": -5.112,
  "total_magnetization_mub_per_fu": 0.00,
  "volume_a3_per_atom": 11.41
}

---

[7]
{
  "formula": "Zr2NbCo2",
  "functional": "PBE-GGA",
  "state": "relaxed",
  "lattice": [[-2.1532, 2.1532, 4.8259], [2.1532, -2.1532, 4.8259], [2.1532, 2.1532, -4.8259]],
  "species": ["Zr", "Zr", "Nb", "Co", "Co"],
  "fractional_positions": [[0.2500, 0.7500, 0.5000], [0.7500, 0.2500, 0.5000], [0.0000, 0.0000, 0.0000], [0.3899, 0.3899, 0.0000], [0.6101, 0.6101, 0.0000]],
  "ef_ev_per_atom": 0.22,
  "total_magnetization_mub_per_fu": 0.02,
  "volume_a3_per_atom": 17.90
}

---

[8]
{
  "formula": "CoH26C20S2N8",
  "functional": "PBE-GGA",
  "state": "relaxed",
  "lattice": [[7.6689, 0.0000, 0.0000], [1.5760, 7.9321, 0.0000], [0.9503, 2.5647, 9.2719]],
  "species": ["Co", "H", "H", "H", "H", "H", "H", "H", "H", "H", "H", "H", "H", "H", "H", "H", "H", "H", "H", "H", "H", "H", "H", "H", "H", "H", "H", "C", "C", "C", "C", "C", "C", "C", "C", "C", "C", "C", "C", "C", "C", "C", "C", "C", "C", "C", "C", "S", "S", "N", "N", "N", "N", "N", "N", "N", "N"],
  "fractional_positions": [[0.0000, 0.0000, 0.0000], [0.0191, 0.6283, 0.0188], [0.0685, 0.1430, 0.4051], [0.1017, 0.3446, 0.1953], [0.1473, 0.9002, 0.2879], [0.2039, 0.3833, 0.6505], [0.2391, 0.6311, 0.4771], [0.2446, 0.0323, 0.5230], [0.2955, 0.1179, 0.3366], [0.3147, 0.1652, 0.6608], [0.3976, 0.7677, 0.0721], [0.4245, 0.3448, 0.5743], [0.4259, 0.4180, 0.8785], [0.4910, 0.3315, 0.0631], [0.5090, 0.6685, 0.9369], [0.5741, 0.5820, 0.1215], [0.5755, 0.6552, 0.4257], [0.6024, 0.2323, 0.9279], [0.6853, 0.8348, 0.3392], [0.7045, 0.8821, 0.6634], [0.7554, 0.9677, 0.4770], [0.7609, 0.3689, 0.5229], [0.7961, 0.6167, 0.3495], [0.8527, 0.0998, 0.7121], [0.8983, 0.6554, 0.8047], [0.9315, 0.8570, 0.5949], [0.9809, 0.3717, 0.9812], [0.0669, 0.6224, 0.1226], [0.1149, 0.4636, 0.2217], [0.1393, 0.7738, 0.2721], [0.1788, 0.4574, 0.3563], [0.1919, 0.6214, 0.3775], [0.2066, 0.1414, 0.4287], [0.2182, 0.8198, 0.7844], [0.2953, 0.2999, 0.5924], [0.3468, 0.1816, 0.9928], [0.4734, 0.2980, 0.9630], [0.5266, 0.7020, 0.0370], [0.6532, 0.8184, 0.0072], [0.7047, 0.7001, 0.4076], [0.7818, 0.1802, 0.2156], [0.7934, 0.8586, 0.5713], [0.8081, 0.3786, 0.6225], [0.8212, 0.5426, 0.6437], [0.8607, 0.2262, 0.7279], [0.8851, 0.5364, 0.7783], [0.9331, 0.3776, 0.8774], [0.3604, 0.7153, 0.6890], [0.6396, 0.2847, 0.3110], [0.0758, 0.7784, 0.1449], [0.1166, 0.8978, 0.8544], [0.2234, 0.3042, 0.4575], [0.2424, 0.0884, 0.0190], [0.7575, 0.9116, 0.9810], [0.7766, 0.6958, 0.5425], [0.8834, 0.1022, 0.1456], [0.9242, 0.2216, 0.8551]],
  "final_energy_ev_per_atom": -6.242,
  "total_magnetization_mub_per_fu": 1.00,
  "volume_a3_per_atom": 9.90
}

---

[9]
{
  "formula": "SbPIrO",
  "functional": "PBE-GGA",
  "state": "relaxed",
  "lattice": [[4.4605, 0.0000, 0.0000], [0.0000, 4.4605, 0.0000], [0.0000, 0.0000, 6.6856]],
  "species": ["Sb", "Sb", "P", "P", "Ir", "Ir", "O", "O"],
  "fractional_positions": [[0.2500, 0.7500, 0.0000], [0.7500, 0.2500, 0.0000], [0.2500, 0.2500, 0.2366], [0.7500, 0.7500, 0.7634], [0.2500, 0.2500, 0.5657], [0.7500, 0.7500, 0.4343], [0.2500, 0.7500, 0.5000], [0.7500, 0.2500, 0.5000]],
  "total_magnetization_mub_per_fu": 0.00,
  "volume_a3_per_atom": 16.63,
  "de_polymorph_mev_per_atom": 1068.0
}

---

[10]
{
  "formula": "NpSbAs",
  "functional": "PBE-GGA",
  "state": "relaxed",
  "lattice": [[0.0000, 3.4382, 3.4382], [3.4382, 0.0000, 3.4382], [3.4382, 3.4382, 0.0000]],
  "species": ["Np", "Sb", "As"],
  "fractional_positions": [[0.0000, 0.0000, 0.0000], [0.5000, 0.5000, 0.5000], [0.2500, 0.2500, 0.2500]],
  "total_magnetization_mub_per_fu": 4.08,
  "volume_a3_per_atom": 27.10,
  "de_polymorph_mev_per_atom": 15.9
}

---

[11]
{
  "formula": "SbOsPt2",
  "functional": "PBE-GGA",
  "state": "relaxed",
  "lattice": [[0.0000, 3.2173, 3.2173], [3.2173, 0.0000, 3.2173], [3.2173, 3.2173, 0.0000]],
  "species": ["Sb", "Os", "Pt", "Pt"],
  "fractional_positions": [[0.0000, 0.0000, 0.0000], [0.2500, 0.2500, 0.2500], [0.5000, 0.5000, 0.5000], [0.7500, 0.7500, 0.7500]],
  "final_energy_ev_per_atom": -6.572,
  "total_magnetization_mub_per_fu": 0.00,
  "volume_a3_per_atom": 16.65
}

---

[12]
{
  "formula": "DyErZn2Sn2",
  "functional": "PBE-GGA",
  "state": "relaxed",
  "lattice": [[4.4966, 0.0000, 0.0000], [-2.2483, 3.8942, 0.0000], [0.0000, 0.0000, 15.7153]],
  "species": ["Dy", "Dy", "Er", "Er", "Zn", "Zn", "Zn", "Zn", "Sn", "Sn", "Sn", "Sn"],
  "fractional_positions": [[0.0000, 0.0000, 0.0000], [0.0000, 0.0000, 0.5000], [0.0000, 0.0000, 0.2500], [0.0000, 0.0000, 0.7500], [0.3333, 0.6667, 0.1612], [0.3333, 0.6667, 0.3388], [0.6667, 0.3333, 0.6612], [0.6667, 0.3333, 0.8388], [0.3333, 0.6667, 0.6134], [0.3333, 0.6667, 0.8866], [0.6667, 0.3333, 0.1134], [0.6667, 0.3333, 0.3866]],
  "total_magnetization_mub_per_fu": 0.00,
  "volume_a3_per_atom": 22.93,
  "de_polymorph_mev_per_atom": 0.0
}